# Ba2SmFeO5 | Alexandria | GGA+U | optimized geometry
data_Ba2SmFeO5
_symmetry_space_group_name_H-M 'C m c 21'
_symmetry_Int_Tables_number 36
_cell_length_a 3.630
_cell_length_b 15.032
_cell_length_c 11.674
_cell_angle_alpha 90.00
_cell_angle_beta 90.00
_cell_angle_gamma 90.00
loop_
_symmetry_equiv_pos_as_xyz
'x,y,z'
'-x,-y,z+1/2'
'-x,y,z'
'x,-y,z+1/2'
'x+1/2,y+1/2,z'
'-x+1/2,-y+1/2,z+1/2'
'-x+1/2,y+1/2,z'
'x+1/2,-y+1/2,z+1/2'
loop_
_atom_site_label
_atom_site_fract_x
_atom_site_fract_y
_atom_site_fract_z
Ba1 0.000 0.103 0.000
Ba2 0.000 0.140 0.661
Sm1 0.000 0.202 0.367
Fe1 0.000 0.454 0.760
O1 0.000 0.035 0.329
O2 0.000 0.288 0.992
O3 0.000 0.328 0.733
O4 0.000 0.348 0.336
O5 0.000 0.494 0.116
# Uncorrected energy ... -245.8 eV per cell
# Total magnetic moment ... 0.5475 μB per atom
# Fermi-level density of states ... 0.000 states/eV per atom